Record 1
The following is a DFT calculation (PBE) of SrSc2Se after structural relaxation.

Values from the calculation:
The final energy is -20.5 eV per cell. As for the symmetry: P4mm. The density of states at the Fermi level comes out at 1.379 states/eV/atom. Its raw formation energy is -0.679 eV per atom. The value obtained for the size of the total moment is 0.008 μB/f.u. For the volume, the calculation gives 26.76 Å³ per atom.

Lattice parameters (Å, degrees): 3.6438 3.6438 8.0623 90.00 90.00 90.00
Closest atoms and distances in Å follow each position.
Fractional coordinates of all 4 atoms:
Sr (0.0000, 0.0000, 0.0000)  4 Se 3.49, 5 Sc 3.52-3.75, 4 Sr 3.64
Sc (0.0000, 0.0000, 0.5632)  4 Se 2.83, 4 Sc 3.15
Sc (0.5000, 0.5000, 0.3378)  1 Se 2.99, 4 Sc 3.15
Se (0.5000, 0.5000, 0.7085)  5 Sc 2.83-2.99

Record 2
The following is a DFT calculation (PBE) of SrScSe2 after structural relaxation.

Values from the calculation:
The final energy is -41.8 eV per cell. As for the symmetry: I-42d. The density of states at the Fermi level comes out at 0.610 states/eV/atom. Its raw formation energy is -1.477 eV per atom. The value obtained for the size of the total moment is 0.995 μB/f.u. For the volume, the calculation gives 34.03 Å³ per atom. The value obtained for the offset from the most stable computed form is 0.294 eV/atom.

Lattice parameters (Å, degrees): 7.8121 7.8121 7.8121 130.12 130.12 73.22
Closest atoms and distances in Å follow each position.
Fractional coordinates of all 8 atoms:
Sr (0.0000, 0.0000, 0.0000)  4 Se 3.01
Sr (0.7500, 0.2500, 0.5000)  4 Se 3.01
Sc (0.2500, 0.7500, 0.5000)  4 Se 2.63
Sc (0.5000, 0.5000, 0.0000)  4 Se 2.63
Se (0.1737, 0.6250, 0.0487)  2 Sc 2.63
Se (0.3750, 0.4237, 0.5487)  2 Sc 2.63
Se (0.5763, 0.1250, 0.9513)  2 Sc 2.63
Se (0.8750, 0.8263, 0.4513)  2 Sc 2.63

Record 3
The following is a DFT calculation (PBE) of Sr2ScSe after structural relaxation.

Values from the calculation:
The final energy is -14.0 eV per cell. As for the symmetry: I4/mmm. The density of states at the Fermi level comes out at 1.186 states/eV/atom. Its raw formation energy is -0.198 eV per atom. The value obtained for the size of the total moment is 0.802 μB/f.u. For the volume, the calculation gives 31.70 Å³ per atom.

Lattice parameters (Å, degrees): 6.4288 6.4288 6.4288 135.93 135.93 64.08
Closest atoms and distances in Å follow each position.
Fractional coordinates of all 4 atoms:
Sr (0.2500, 0.7500, 0.5000)  4 Sr 3.41, 4 Se 3.64, 4 Sc 3.64
Sr (0.7500, 0.2500, 0.5000)  4 Sr 3.41, 4 Se 3.64, 4 Sc 3.64
Sc (0.0000, 0.0000, 0.0000)  4 Se 3.41, 8 Sr 3.64
Se (0.5000, 0.5000, 0.0000)  4 Sc 3.41, 8 Sr 3.64

Record 4
The following is a DFT calculation (PBE) of SrScSe2 after structural relaxation.

Values from the calculation:
The final energy is -21.8 eV per cell. As for the symmetry: R3m. The density of states at the Fermi level comes out at 0.680 states/eV/atom. Its raw formation energy is -1.712 eV per atom. The value obtained for the size of the total moment is 0.001 μB/f.u. For the volume, the calculation gives 25.23 Å³ per atom. The value obtained for the offset from the most stable computed form is 0.059 eV/atom.

Lattice parameters (Å, degrees): 7.5530 7.5530 7.5530 30.92 30.92 30.92
Closest atoms and distances in Å follow each position.
Fractional coordinates of all 4 atoms:
Sr (0.0000, 0.0000, 0.0000)  6 Se 3.05-3.15
Sc (0.8270, 0.8270, 0.8270)  6 Se 2.76-2.83
Se (0.2348, 0.2348, 0.2348)  3 Sc 2.83, 3 Sr 3.15
Se (0.4251, 0.4251, 0.4251)  3 Sc 2.76, 3 Sr 3.05

Record 5
The following is a DFT calculation (PBE) of SrScSe2 after structural relaxation.

Values from the calculation:
The final energy is -16.8 eV per cell. As for the symmetry: F-43m. The density of states at the Fermi level comes out at 1.038 states/eV/atom. Its raw formation energy is -0.463 eV per atom. The value obtained for the size of the total moment is 0.880 μB/f.u. For the volume, the calculation gives 24.19 Å³ per atom. The value obtained for the offset from the most stable computed form is 1.308 eV/atom.

Lattice parameters (Å, degrees): 5.1532 5.1532 5.1532 60.00 60.00 60.00
Closest atoms and distances in Å follow each position.
Fractional coordinates of all 4 atoms:
Sr (0.0000, 0.0000, 0.0000)  4 Se 3.16, 4 Sc 3.16
Sc (0.7500, 0.7500, 0.7500)  4 Se 3.16, 4 Sr 3.16
Se (0.2500, 0.2500, 0.2500)  4 Se 3.16, 4 Sr 3.16
Se (0.5000, 0.5000, 0.5000)  4 Se 3.16, 4 Sc 3.16

Record 6
The following is a DFT calculation (PBE) of SrSc2Se after structural relaxation.

Values from the calculation:
The final energy is -20.1 eV per cell. As for the symmetry: Cm. The density of states at the Fermi level comes out at 1.397 states/eV/atom. Its raw formation energy is -0.562 eV per atom. The value obtained for the size of the total moment is 0.000 μB/f.u. For the volume, the calculation gives 28.15 Å³ per atom.

Lattice parameters (Å, degrees): 6.1400 6.1400 6.2949 120.51 120.51 34.05
Closest atoms and distances in Å follow each position.
Fractional coordinates of all 4 atoms:
Sr (0.0000, 0.0000, 0.0000)  3 Se 3.19-3.23, 1 Sc 3.43
Sc (0.1698, 0.1698, 0.6422)  2 Se 2.71
Sc (0.3818, 0.3818, 0.3879)  2 Se 2.75
Se (0.7309, 0.7309, 0.0099)  4 Sc 2.71-2.75

Record 7
The following is a DFT calculation (PBE) of SrScSe2 after structural relaxation.

Values from the calculation:
The final energy is -20.4 eV per cell. As for the symmetry: Fm-3m. The density of states at the Fermi level comes out at 0.984 states/eV/atom. Its raw formation energy is -1.366 eV per atom. The value obtained for the size of the total moment is 0.998 μB/f.u. For the volume, the calculation gives 23.65 Å³ per atom. The value obtained for the offset from the most stable computed form is 0.404 eV/atom.

Lattice parameters (Å, degrees): 5.1147 5.1147 5.1147 60.00 60.00 60.00
Closest atoms and distances in Å follow each position.
Fractional coordinates of all 4 atoms:
Sr (0.0000, 0.0000, 0.0000)  8 Se 3.13
Sc (0.5000, 0.5000, 0.5000)  8 Se 3.13
Se (0.2500, 0.2500, 0.2500)  4 Sc 3.13, 4 Sr 3.13
Se (0.7500, 0.7500, 0.7500)  4 Sc 3.13, 4 Sr 3.13

Record 8
The following is a DFT calculation (PBE) of SrSc2Se after structural relaxation.

Values from the calculation:
The final energy is -19.7 eV per cell. As for the symmetry: P4/mmm. The density of states at the Fermi level comes out at 1.205 states/eV/atom. Its raw formation energy is -0.457 eV per atom. The value obtained for the size of the total moment is 1.560 μB/f.u. For the volume, the calculation gives 27.74 Å³ per atom.

Lattice parameters (Å, degrees): 3.4980 3.4980 9.0680 90.00 90.00 90.00
Closest atoms and distances in Å follow each position.
Fractional coordinates of all 4 atoms:
Sr (0.0000, 0.0000, 0.0000)  4 Sr 3.50, 8 Sc 3.89
Sc (0.5000, 0.5000, 0.3312)  4 Se 2.91, 1 Sc 3.06
Sc (0.5000, 0.5000, 0.6688)  4 Se 2.91, 1 Sc 3.06
Se (0.0000, 0.0000, 0.5000)  8 Sc 2.91

Record 9
The following is a DFT calculation (PBE) of Sr2ScSe after structural relaxation.

Values from the calculation:
The final energy is -14.7 eV per cell. As for the symmetry: Immm. The density of states at the Fermi level comes out at 1.220 states/eV/atom. Its raw formation energy is -0.380 eV per atom. The value obtained for the size of the total moment is 1.121 μB/f.u. For the volume, the calculation gives 35.11 Å³ per atom.

Lattice parameters (Å, degrees): 6.9977 6.9977 6.9977 147.08 130.43 60.80
Closest atoms and distances in Å follow each position.
Fractional coordinates of all 4 atoms:
Sr (0.1905, 0.1905, 0.0000)  2 Se 3.04
Sr (0.8095, 0.8095, 0.0000)  2 Se 3.04
Sc (0.5000, 0.0000, 0.5000)  4 Se 3.54, 4 Sr 3.73
Se (0.0000, 0.5000, 0.5000)  4 Sr 3.04

Record 10
The following is a DFT calculation (PBE) of SrSc2Se after structural relaxation.

Values from the calculation:
The final energy is -18.9 eV per cell. As for the symmetry: P4/mmm. The density of states at the Fermi level comes out at 1.290 states/eV/atom. Its raw formation energy is -0.278 eV per atom. The value obtained for the size of the total moment is 1.085 μB/f.u. For the volume, the calculation gives 28.94 Å³ per atom.

Lattice parameters (Å, degrees): 4.3088 4.3088 6.2360 90.00 90.00 90.00
Closest atoms and distances in Å follow each position.
Fractional coordinates of all 4 atoms:
Sr (0.0000, 0.0000, 0.0000)  4 Se 3.05
Sc (0.0000, 0.5000, 0.5000)  4 Sc 3.05
Sc (0.5000, 0.0000, 0.5000)  4 Sc 3.05
Se (0.5000, 0.5000, 0.0000)  4 Sr 3.05

Repeat the fifth record exactly.
The following is a DFT calculation (PBE) of SrScSe2 after structural relaxation.

Values from the calculation:
The final energy is -16.8 eV per cell. As for the symmetry: F-43m. The density of states at the Fermi level comes out at 1.038 states/eV/atom. Its raw formation energy is -0.463 eV per atom. The value obtained for the size of the total moment is 0.880 μB/f.u. For the volume, the calculation gives 24.19 Å³ per atom. The value obtained for the offset from the most stable computed form is 1.308 eV/atom.

Lattice parameters (Å, degrees): 5.1532 5.1532 5.1532 60.00 60.00 60.00
Closest atoms and distances in Å follow each position.
Fractional coordinates of all 4 atoms:
Sr (0.0000, 0.0000, 0.0000)  4 Se 3.16, 4 Sc 3.16
Sc (0.7500, 0.7500, 0.7500)  4 Se 3.16, 4 Sr 3.16
Se (0.2500, 0.2500, 0.2500)  4 Se 3.16, 4 Sr 3.16
Se (0.5000, 0.5000, 0.5000)  4 Se 3.16, 4 Sc 3.16